## LaCoPO (PBE with a Hubbard U)

Data for a relaxed structure of LaCoPO.

abc: 3.995 3.995 8.239
angles: 90.00 90.00 90.00
Space group P4/nmm (No. 129, origin choice 2)
Symmetry-distinct sites (fractional):
1 La 0.250 0.250 0.153 x2
2 Co 0.250 0.750 0.500 x2
3 P 0.250 0.250 0.618 x2
4 O 0.250 0.750 0.000 x2

Results
Size of the total moment in μB per atom: 0.18
VASP energy in eV/atom: -6.87